First-principles (PBE-GGA) data for a relaxed structure of Na4H2Cl, as listed in the Alexandria database. Values from VASP.

Values from the calculation:
Final energy   -16.1 eV for the cell shown
Spin magnetization   0.00 μB/f.u.

The structure in Quantum ESPRESSO input format:
```
&SYSTEM
  ibrav = 0, nat = 7, ntyp = 3
/
ATOMIC_SPECIES
Na 22.99 Na.upf
H 1.01 H.upf
Cl 35.45 Cl.upf
ATOMIC_POSITIONS angstrom
Na 0.000 2.590 0.000
Na 2.590 2.590 3.343
Na 2.590 0.000 0.000
Na 5.180 5.180 3.006
H 5.180 5.180 5.147
H 2.590 2.590 1.201
Cl 0.000 0.000 0.000
CELL_PARAMETERS angstrom
5.180 0.000 0.000
0.000 5.180 0.000
2.590 2.590 6.349
```

***

First-principles (PBE-GGA) data for a relaxed structure of Na2H2Cl, as listed in the Alexandria database. Values from VASP.

Values from the calculation:
ΔE to the lowest computed polymorph   0.000 eV per atom
Spin magnetization   0.00 μB/f.u.

The structure in Quantum ESPRESSO input format:
```
&SYSTEM
  ibrav = 0, nat = 5, ntyp = 3
/
ATOMIC_SPECIES
Na 22.99 Na.upf
H 1.01 H.upf
Cl 35.45 Cl.upf
ATOMIC_POSITIONS angstrom
Na -1.761 3.075 5.866
Na 2.566 1.126 0.435
H 1.130 0.550 2.983
H -0.325 3.651 3.318
Cl 0.000 0.000 0.000
CELL_PARAMETERS angstrom
3.756 -0.312 -1.815
-2.138 3.544 0.606
-0.813 0.969 7.510
```

***

First-principles (PBE-GGA) data for a relaxed structure of NaNpH2Cl8, as listed in the Alexandria database. Values from VASP.

Values from the calculation:
Final energy   -50.3 eV for the cell shown
Spin magnetization   2.00 μB/f.u.

The structure in Quantum ESPRESSO input format:
```
&SYSTEM
  ibrav = 0, nat = 12, ntyp = 4
/
ATOMIC_SPECIES
Cl 35.45 Cl.upf
Na 22.99 Na.upf
H 1.01 H.upf
Np 237.00 Np.upf
ATOMIC_POSITIONS angstrom
Cl 5.582 -1.690 -1.168
Cl 2.479 -4.562 0.250
Cl 2.963 -7.335 2.470
Cl 1.406 -4.793 -4.127
Cl 5.261 -5.464 -2.831
Cl 4.777 -2.690 -5.051
Cl 6.334 -5.233 1.546
Cl 2.158 -8.335 -1.413
Na 0.819 -3.292 2.240
H 2.710 -5.617 0.987
H 5.030 -4.409 -3.568
Np 0.000 0.000 0.000
CELL_PARAMETERS angstrom
-0.475 -4.069 -5.660
6.578 0.627 -1.401
1.638 -6.583 4.480
```

***

First-principles (PBE-GGA) data for a relaxed structure of Na2HClO, as listed in the Alexandria database. Values from VASP.

Values from the calculation:
Final energy   -40.8 eV for the cell shown
Spin magnetization   0.01 μB/f.u.

The structure in Quantum ESPRESSO input format:
```
&SYSTEM
  ibrav = 0, nat = 10, ntyp = 4
/
ATOMIC_SPECIES
H 1.01 H.upf
Na 22.99 Na.upf
O 16.00 O.upf
Cl 35.45 Cl.upf
ATOMIC_POSITIONS angstrom
H 4.175 -0.918 4.696
H 1.912 -2.903 1.035
Na 4.276 -3.405 -0.863
Na 4.687 -2.991 3.307
Na 1.399 -0.830 2.424
Na 1.811 -0.416 6.594
O 5.143 -1.038 4.687
O 0.944 -2.783 1.044
Cl 4.165 -1.319 1.079
Cl 1.922 -2.501 4.652
CELL_PARAMETERS angstrom
-0.444 -3.612 0.402
5.591 -0.907 -1.975
0.940 0.698 7.304
```

***

First-principles (PBE-GGA) data for a relaxed structure of Na2H2Cl2O, as listed in the Alexandria database. Values from VASP.

Values from the calculation:
Final energy   -26.9 eV for the cell shown
Spin magnetization   0.00 μB/f.u.

The structure in Quantum ESPRESSO input format:
```
&SYSTEM
  ibrav = 0, nat = 7, ntyp = 4
/
ATOMIC_SPECIES
Cl 35.45 Cl.upf
H 1.01 H.upf
O 16.00 O.upf
Na 22.99 Na.upf
ATOMIC_POSITIONS angstrom
Cl -1.056 -4.158 6.231
Cl -3.645 -2.945 2.801
H -0.689 -4.078 2.692
H -4.012 -3.026 6.341
O 0.000 0.000 0.000
Na -2.819 -6.428 7.410
Na -1.882 -0.676 1.623
CELL_PARAMETERS angstrom
-3.616 -0.600 -0.280
-0.799 -5.060 2.480
-0.286 -1.444 6.832
```

***

First-principles (PBE-GGA) data for a relaxed structure of NaH2ClO, as listed in the Alexandria database. Values from VASP.

Values from the calculation:
Final energy   -40.2 eV for the cell shown
Spin magnetization   0.00 μB/f.u.

The structure in Quantum ESPRESSO input format:
```
&SYSTEM
  ibrav = 0, nat = 10, ntyp = 4
/
ATOMIC_SPECIES
Na 22.99 Na.upf
H 1.01 H.upf
Cl 35.45 Cl.upf
O 16.00 O.upf
ATOMIC_POSITIONS angstrom
Na -3.215 -5.808 -0.106
Na -2.546 -0.782 -0.124
H -3.421 -4.471 3.176
H -3.624 -3.647 -1.923
H -2.340 -2.119 -3.407
H -2.137 -2.944 1.693
Cl -4.470 -3.594 1.087
Cl -1.292 -2.996 -1.318
O 0.000 0.000 0.000
O -1.779 -2.115 2.054
CELL_PARAMETERS angstrom
-3.072 1.717 -0.892
0.868 -4.077 -3.446
-3.558 -4.230 4.108
```

***

First-principles (PBE-GGA) data for a relaxed structure of NaZn4H18SClO16, as listed in the Alexandria database. Values from VASP.

Values from the calculation:
Final energy   -403.1 eV for the cell shown
Spin magnetization   0.00 μB/f.u.

The structure in Quantum ESPRESSO input format:
```
&SYSTEM
  ibrav = 0, nat = 82, ntyp = 6
/
ATOMIC_SPECIES
O 16.00 O.upf
H 1.01 H.upf
S 32.06 S.upf
Na 22.99 Na.upf
Zn 65.41 Zn.upf
Cl 35.45 Cl.upf
ATOMIC_POSITIONS angstrom
O 3.581 0.788 7.422
O -1.410 4.964 10.041
O 0.652 6.544 5.609
O 1.842 0.450 5.259
O 0.640 3.630 10.041
O 5.994 2.708 7.422
O 7.155 1.370 5.259
O -1.876 5.778 12.793
O 6.109 1.554 0.238
O 1.108 3.495 5.609
O 3.463 1.261 2.990
O 4.066 4.513 0.238
O 0.878 3.237 2.810
O 3.243 0.859 10.220
O 0.531 1.820 7.772
O 0.167 2.819 12.793
O -1.760 4.625 5.609
O 0.991 6.474 2.810
O 2.391 6.882 7.772
O 3.594 3.703 2.990
O -1.869 4.953 2.810
O 3.125 3.837 7.422
O 6.102 2.379 10.220
O -2.922 5.962 7.772
O 3.702 5.512 5.259
O 0.770 6.071 10.041
O 1.708 6.068 12.793
O 0.000 4.888 8.043
O 4.233 2.444 4.987
O 5.643 2.369 2.990
O 3.356 4.095 10.220
O 2.525 1.265 0.238
H 2.358 0.650 4.442
H 0.741 6.479 4.624
H 3.226 3.881 8.407
H 0.286 3.045 11.841
H 1.875 6.682 8.589
H 0.933 2.218 12.998
H -2.597 5.580 2.605
H -1.739 5.562 11.841
H 1.898 6.791 2.605
H 0.405 7.272 2.756
H 3.617 4.965 4.442
H 3.947 4.287 1.189
H 0.699 2.293 2.605
H 5.972 1.770 1.189
H 1.846 7.031 12.998
H 3.300 5.114 0.033
H -2.779 5.415 12.998
H 2.388 0.301 0.033
H 2.336 0.541 10.426
H 0.616 2.368 8.589
H 1.007 3.451 4.624
H 3.534 5.039 10.426
H -2.491 5.615 8.589
H 5.982 2.598 8.407
H 6.501 3.285 10.274
H -1.748 4.734 4.624
H 2.780 1.275 1.189
H 3.492 0.853 8.407
H 7.012 1.917 0.033
H 2.371 3.987 10.274
H -2.267 4.047 2.756
H 3.828 0.060 10.274
H 6.830 1.752 10.426
H 1.453 6.057 11.841
H 1.862 3.345 2.756
H 6.724 1.717 4.442
S 0.000 4.888 9.537
S 4.233 2.444 3.494
Na 4.233 2.444 11.828
Na 0.000 4.888 1.203
Zn -1.272 6.419 6.433
Zn 1.962 5.225 6.433
Zn 2.272 2.107 6.597
Zn 0.000 0.000 4.657
Zn 5.506 0.914 6.597
Zn 4.922 4.311 6.597
Zn 0.000 0.000 8.373
Zn -0.689 3.021 6.433
Cl 0.000 0.000 2.374
Cl 0.000 0.000 10.657
CELL_PARAMETERS angstrom
8.467 0.000 0.000
-4.233 7.332 0.000
0.000 0.000 13.031
```

***

First-principles (PBE-GGA) data for a relaxed structure of NaReH2Cl8, as listed in the Alexandria database. Values from VASP.

Values from the calculation:
Final energy   -44.5 eV for the cell shown
Spin magnetization   2.00 μB/f.u.

The structure in Quantum ESPRESSO input format:
```
&SYSTEM
  ibrav = 0, nat = 12, ntyp = 4
/
ATOMIC_SPECIES
H 1.01 H.upf
Cl 35.45 Cl.upf
Re 186.21 Re.upf
Na 22.99 Na.upf
ATOMIC_POSITIONS angstrom
H 5.013 5.205 2.573
H 2.142 1.925 5.526
Cl 2.172 2.008 4.219
Cl 1.585 5.310 1.742
Cl 5.280 5.513 0.364
Cl 5.661 1.833 1.746
Cl 1.494 5.297 6.353
Cl 5.570 1.819 6.357
Cl 1.876 1.617 7.735
Cl 4.983 5.122 3.880
Re 0.000 0.000 0.000
Na 0.042 0.074 3.948
CELL_PARAMETERS angstrom
6.632 0.467 0.110
0.439 6.515 0.093
0.085 0.148 7.896
```

***

First-principles (PBE-GGA) data for a relaxed structure of NaH2RuCl8, as listed in the Alexandria database. Values from VASP.

Values from the calculation:
Final energy   -40.2 eV for the cell shown
Spin magnetization   3.04 μB/f.u.

The structure in Quantum ESPRESSO input format:
```
&SYSTEM
  ibrav = 0, nat = 12, ntyp = 4
/
ATOMIC_SPECIES
Ru 101.07 Ru.upf
H 1.01 H.upf
Cl 35.45 Cl.upf
Na 22.99 Na.upf
ATOMIC_POSITIONS angstrom
Ru 0.000 0.000 0.000
H -3.725 -2.468 4.373
H -7.536 0.914 2.176
Cl -3.581 -1.634 3.363
Cl -6.762 -4.064 3.430
Cl -3.794 -3.869 6.018
Cl -5.249 -0.295 6.734
Cl -6.012 -1.260 -0.185
Cl -7.467 2.314 0.532
Cl -7.680 0.079 3.186
Cl -4.499 2.509 3.119
Na -0.807 -2.337 3.078
CELL_PARAMETERS angstrom
-3.678 4.671 2.885
-5.969 -1.552 -2.491
-1.614 -4.674 6.155
```

***

First-principles (PBE-GGA) data for a relaxed structure of NaSbH2Cl, as listed in the Alexandria database. Values from VASP.

Values from the calculation:
Final energy   -15.3 eV for the cell shown
Spin magnetization   0.00 μB/f.u.

The structure in Quantum ESPRESSO input format:
```
&SYSTEM
  ibrav = 0, nat = 5, ntyp = 4
/
ATOMIC_SPECIES
Cl 35.45 Cl.upf
H 1.01 H.upf
Sb 121.76 Sb.upf
Na 22.99 Na.upf
ATOMIC_POSITIONS angstrom
Cl 1.914 3.696 1.914
H 1.914 0.000 0.000
H 0.000 0.000 1.914
Sb 0.000 0.000 0.000
Na 0.000 3.696 0.000
CELL_PARAMETERS angstrom
3.829 0.000 0.000
0.000 7.393 0.000
0.000 0.000 3.829
```

***

Question: Look up the spin magnetization of the ninth one.
Answer: 3.04 μB/f.u.

***

Question: Number 9 is which compound?
Answer: NaH2RuCl8

***

Question: spin magnetization of number 7 (NaZn4H18SClO16)?
Answer: 0.00 μB/f.u.

***

Please write out number 1 again, unchanged.
First-principles (PBE-GGA) data for a relaxed structure of Na4H2Cl, as listed in the Alexandria database. Values from VASP.

Values from the calculation:
Final energy   -16.1 eV for the cell shown
Spin magnetization   0.00 μB/f.u.

The structure in Quantum ESPRESSO input format:
```
&SYSTEM
  ibrav = 0, nat = 7, ntyp = 3
/
ATOMIC_SPECIES
Na 22.99 Na.upf
H 1.01 H.upf
Cl 35.45 Cl.upf
ATOMIC_POSITIONS angstrom
Na 0.000 2.590 0.000
Na 2.590 2.590 3.343
Na 2.590 0.000 0.000
Na 5.180 5.180 3.006
H 5.180 5.180 5.147
H 2.590 2.590 1.201
Cl 0.000 0.000 0.000
CELL_PARAMETERS angstrom
5.180 0.000 0.000
0.000 5.180 0.000
2.590 2.590 6.349
```